Gd2AgAu3: relaxed, PBE.

Cell: 3.7755 3.7755 9.1525 Å, 90.00 90.00 90.00°
Atoms (fractional coordinates):
Gd 0.0000 0.0000 0.4969
Au 0.5000 0.5000 0.3376
Gd 0.5000 0.5000 0.0078
Au 0.0000 0.0000 0.1598
Ag 0.0000 0.0000 0.8280
Au 0.5000 0.5000 0.6700

Calculated values
E_form   -0.73 eV/atom
Uncorrected energy   -4.390 eV/atom
ρ   12.90 Mg/m³